1.
CuPtSe2 | PBEsol | optimized geometry

Lattice parameters (Å, degrees): 6.3686 6.3686 6.3686 90.00 90.00 90.00
Element x y z (fractional)
Cu (0.0000, 0.0000, 0.0000)
Cu (0.0000, 0.5000, 0.5000)
Cu (0.5000, 0.0000, 0.5000)
Cu (0.5000, 0.5000, 0.0000)
Pt (0.2500, 0.2500, 0.7500)
Pt (0.2500, 0.7500, 0.2500)
Pt (0.7500, 0.2500, 0.2500)
Pt (0.7500, 0.7500, 0.7500)
Se (0.0000, 0.0000, 0.5000)
Se (0.0000, 0.5000, 0.0000)
Se (0.2500, 0.2500, 0.2500)
Se (0.2500, 0.7500, 0.7500)
Se (0.5000, 0.0000, 0.0000)
Se (0.5000, 0.5000, 0.5000)
Se (0.7500, 0.2500, 0.7500)
Se (0.7500, 0.7500, 0.2500)

Computed properties:
Symmetry ... No. 216
Raw formation energy ... 437 meV/atom
Energy ... -4.31 eV per atom

---

2.
TaBe2Sb | PBEsol | optimized geometry

Lattice parameters (Å, degrees): 6.7749 6.7749 5.3893 90.00 90.00 90.00
Element x y z (fractional)
Ta (0.0000, 0.0000, 0.0000)
Ta (0.0000, 0.5000, 0.2500)
Ta (0.5000, 0.0000, 0.7500)
Ta (0.5000, 0.5000, 0.5000)
Be (0.2425, 0.2500, 0.6250)
Be (0.2500, 0.7425, 0.8750)
Be (0.2500, 0.7575, 0.3750)
Be (0.2575, 0.2500, 0.1250)
Be (0.7425, 0.7500, 0.1250)
Be (0.7500, 0.2425, 0.3750)
Be (0.7500, 0.2575, 0.8750)
Be (0.7575, 0.7500, 0.6250)
Sb (0.0000, 0.0000, 0.5000)
Sb (0.0000, 0.5000, 0.7500)
Sb (0.5000, 0.0000, 0.2500)
Sb (0.5000, 0.5000, 0.0000)

Computed properties:
Symmetry ... No. 122
Raw formation energy ... 660 meV/atom
Energy ... -5.62 eV per atom

---

3.
LiMg2Te | PBEsol | optimized geometry

Lattice parameters (Å, degrees): 4.2267 4.2267 9.9266 90.00 90.00 90.00
Element x y z (fractional)
Li (0.0000, 0.0000, 0.0000)
Li (0.5000, 0.5000, 0.5000)
Mg (0.0000, 0.0000, 0.5000)
Mg (0.0000, 0.5000, 0.2500)
Mg (0.5000, 0.0000, 0.7500)
Mg (0.5000, 0.5000, 0.0000)
Te (0.0000, 0.5000, 0.7500)
Te (0.5000, 0.0000, 0.2500)

Computed properties:
Symmetry ... No. 119
Raw formation energy ... -297 meV/atom
Energy ... -2.53 eV per atom

---

4.
TiFe2TcHg | PBEsol | optimized geometry

Lattice parameters (Å, degrees): 4.5992 4.5992 4.8743 90.00 90.00 90.00
Element x y z (fractional)
Ti (0.0000, 0.0000, 0.0000)
Fe (0.0000, 0.5000, 0.5000)
Fe (0.5000, 0.0000, 0.5000)
Tc (0.5000, 0.5000, 0.0000)
Hg (0.0000, 0.0000, 0.5000)

Computed properties:
Symmetry ... No. 123
Energy of formation from the pure elements ... 2060 meV/atom
Energy ... -5.56 eV per atom

---

5.
Sc2BeSb | PBEsol | optimized geometry

Lattice parameters (Å, degrees): 3.7967 4.0046 10.2404 90.00 90.00 90.00
Element x y z (fractional)
Sc (0.0000, 0.0000, 0.0000)
Sc (0.0000, 0.5000, 0.5000)
Sc (0.5000, 0.0000, 0.2942)
Sc (0.5000, 0.5000, 0.7942)
Be (0.0000, 0.0000, 0.7364)
Be (0.0000, 0.5000, 0.2364)
Sb (0.5000, 0.0000, 0.5807)
Sb (0.5000, 0.5000, 0.0807)

Computed properties:
Symmetry ... No. 38
Raw formation energy ... -509 meV/atom
Energy ... -5.95 eV per atom

---

6.
Li3Ag2 | PBEsol | optimized geometry

Lattice parameters (Å, degrees): 3.1581 3.1581 15.6734 90.00 90.00 90.00
Element x y z (fractional)
Li (0.0000, 0.0000, 0.0000)
Li (0.0000, 0.0000, 0.1927)
Li (0.0000, 0.0000, 0.3838)
Li (0.0000, 0.0000, 0.6162)
Li (0.0000, 0.0000, 0.8073)
Li (0.5000, 0.5000, 0.5000)
Ag (0.5000, 0.5000, 0.0958)
Ag (0.5000, 0.5000, 0.2893)
Ag (0.5000, 0.5000, 0.7107)
Ag (0.5000, 0.5000, 0.9042)

Computed properties:
Symmetry ... No. 123
Energy of formation from the pure elements ... -152 meV/atom
Energy ... -2.66 eV per atom
Polymorph energy (0 for the lowest one) ... 0.000 eV/atom

---

| no. | calculated volume (Å³/cell) | M_tot (μB per atom) |
| --- | --- | --- |
| 1 | 258.3 | 0.0001 |
| 2 | 247.4 | 0.0000 |
| 3 | 177.3 | 0.0000 |
| 4 | 103.1 | 1.2874 |
| 5 | 155.7 | 0.0001 |
| 6 | 156.3 | 0.0000 |